Here is an optimized crystal structure of Ho4CuPt from Alexandria. Energies are from PBE.

Output
**Formation energy from the elements**: -0.416 eV per atom

Structure (extended XYZ):
```
12
Lattice="-0.410 -5.419 4.173 6.855 -0.462 0.074 0.219 4.134 5.520" Properties=species:S:1:pos:R:3 pbc="T T T"
Pt 0.000 0.000 0.000
Pt 3.222 -2.940 2.124
Ho 5.670 -1.587 2.363
Ho 0.992 -0.160 7.405
Ho 4.195 -4.210 4.435
Ho 0.814 -3.221 5.387
Ho 2.277 -0.596 3.314
Ho 5.849 1.474 4.381
Ho 4.385 -1.151 6.453
Ho 2.468 2.464 5.332
Cu 3.537 1.836 2.797
Cu -0.096 -0.642 4.847
```